Below is a PBEsol-optimized structure of K3LiI, with properties calculated at the SCAN level.

Values from the calculation:
Space-group type: Pm-3m, No. 221
Raw formation energy, kJ/mol of atoms: -20.4

Geometry as POSCAR:
```
K3LiI
1.0
-1.402 -5.405 3.462
4.013 -3.503 -3.845
5.009 1.294 4.049
I K Li
1 3 1
Direct
0.500 0.500 0.500
0.000 0.500 0.000
0.000 0.000 0.500
0.500 0.000 0.000
0.000 0.000 0.000
```